Entry from Alexandria via LeMat-Bulk: an optimized crystal structure of VH6SO10 (PBE+U).

Size of the total moment ... 1.0 μB/f.u.
Crystal system ... triclinic
SG ... P-1 (2)
E_tot ... -202.1 eV for the cell shown

Lattice parameters (Å, degrees): 7.4410 7.7891 7.9533 80.88 72.95 70.04
With the nearest neighbours (Å) after each atom.
Fractional coordinates of all 36 atoms:
V  0.2181  0.1339  0.3053  1 O 1.61
V  0.7819  0.8661  0.6947  1 O 1.61
H  0.0391  0.5328  0.2328  1 O 0.98
H  0.1324  0.5549  0.6630  1 O 0.98
H  0.2704  0.1192  0.9407  1 O 1.00
H  0.3934  0.2389  0.9762  1 O 0.97
H  0.4226  0.3930  0.4461  1 O 0.99
H  0.4628  0.8546  0.7107  1 O 1.00
H  0.5372  0.1454  0.2893  1 O 1.00
H  0.5774  0.6070  0.5539  1 O 0.99
H  0.6066  0.7611  0.0238  1 O 0.97
H  0.7296  0.8808  0.0593  1 O 1.00
H  0.8676  0.4451  0.3370  1 O 0.98
H  0.9609  0.4672  0.7672  1 O 0.98
S  0.0575  0.0924  0.7342  4 O 1.45-1.54
S  0.9425  0.9076  0.2658  4 O 1.45-1.54
O  0.0075  0.4176  0.2707  2 H 0.98
O  0.0080  0.9174  0.7503  1 S 1.51
O  0.0682  0.1741  0.5440  1 S 1.54
O  0.0909  0.7691  0.1532  1 S 1.45
O  0.2558  0.0421  0.7660  1 S 1.48, 1 H 1.64
O  0.3049  0.1671  0.0332  2 H 0.97-1.00
O  0.3417  0.9214  0.3269  1 V 1.61
O  0.4032  0.2392  0.3036  1 H 1.00
O  0.4208  0.4589  0.5442  1 H 0.99
O  0.4671  0.4811  0.9454  1 O 1.23
O  0.5329  0.5189  0.0546  1 O 1.23
O  0.5792  0.5411  0.4558  1 H 0.99
O  0.5968  0.7608  0.6964  1 H 1.00
O  0.6583  0.0786  0.6731  1 V 1.61
O  0.6951  0.8329  0.9668  2 H 0.97-1.00
O  0.7442  0.9579  0.2340  1 S 1.48, 1 H 1.64
O  0.9091  0.2309  0.8468  1 S 1.45
O  0.9318  0.8259  0.4560  1 S 1.54
O  0.9920  0.0826  0.2497  1 S 1.51
O  0.9925  0.5824  0.7293  2 H 0.98